Material: Sm3DyS4
Method: DFT, GGA-PBEsol
State: optimized geometry

a = 3.9095 Å, b = 5.5608 Å, c = 7.8793 Å
α = 90.00°, β = 90.00°, γ = 90.00°
Last column: nearest neighbours and their distance in Å.
Space group Pmmm (No. 47)
Unique sites:
Sm (0.0000, 0.0000, 0.0000) x1  6 S 2.78-2.81
Sm (0.5000, 0.5000, 0.2485) x2  6 S 2.77-2.78
Dy (0.0000, 0.0000, 0.5000) x1  6 S 2.74-2.78
S (0.0000, 0.5000, 0.0000) x1  6 Sm 2.77-2.78
S (0.0000, 0.5000, 0.5000) x1  2 Dy 2.78, 4 Sm 2.78
S (0.5000, 0.0000, 0.2571) x2  2 Dy 2.74, 4 Sm 2.78-2.81

Calculated values
N(E_F), states/eV/atom: 0.4465
Final energy, eV/atom: -6.84

---

Material: Dy2SnS5
Method: DFT, GGA-PBEsol
State: optimized geometry

a = 7.5981 Å, b = 11.2383 Å, c = 3.7568 Å
α = 90.00°, β = 90.00°, γ = 90.00°
Last column: nearest neighbours and their distance in Å.
Space group Pbam (No. 55)
Unique sites:
Dy (0.0284, 0.1726, 0.0000) x4  8 S 2.71-2.92
Sn (0.0000, 0.5000, 0.5000) x2  6 S 2.54-2.59
S (0.0000, 0.0000, 0.5000) x2  4 Dy 2.71
S (0.1712, 0.4007, 0.0000) x4  2 Sn 2.54, 2 Dy 2.78-2.84
S (0.1797, 0.6960, 0.5000) x4  1 Sn 2.59, 2 Dy 2.87

Calculated values
N(E_F), states/eV/atom: 0.0404
Final energy, eV/atom: -6.02